[1]
A relaxed structure of Pr6Ho3Pu. Source: Alexandria, functional PBE.

The value obtained for the formation energy from the elements is 0.2197 eV per atom.

The space group is P2_1/c (No. 14) and the conventional cell measures 6.2028, 9.4693 and 13.1171 Å, with angles of 90.00, 117.47 and 90.00 degrees. The inequivalent atoms are Pr at (0.0645, 0.1638, 0.0718), Pr at (0.3794, 0.0164, 0.7438), Pr at (0.4154, 0.1591, 0.4293), Ho at (0.1288, 0.6661, 0.7489), Ho at (0.5000, 0.0000, 0.0000) and Pu at (0.0000, 0.0000, 0.5000).

[2]
A relaxed structure of PrHo3Pu2S6. Source: Alexandria, functional PBE.

Its raw formation energy is -1.937 eV per atom.

The space group is C2/m (No. 12) and the conventional cell measures 6.8125, 11.8073 and 6.8742 Å, with angles of 90.00, 109.28 and 90.00 degrees. The inequivalent atoms are Pr at (0.0000, 0.0000, 0.0000), Ho at (0.0000, 0.1644, 0.5000), Ho at (0.0000, 0.5000, 0.5000), Pu at (0.0000, 0.3330, 0.0000), S at (0.2426, 0.3297, 0.7393) and S at (0.2457, 0.5000, 0.2595).

[3]
A relaxed structure of PrHo2PuSb4. Source: Alexandria, functional PBE.

Its raw formation energy is -0.993 eV per atom.

The space group is P2/m (No. 10) and the conventional cell measures 7.6649, 4.4413 and 7.6774 Å, with angles of 90.00, 109.52 and 90.00 degrees. The inequivalent atoms are Pr at (0.0000, 0.0000, 0.0000), Ho at (0.5000, 0.0000, 0.5000), Ho at (0.5000, 0.5000, 0.0000), Pu at (0.0000, 0.5000, 0.5000), Sb at (0.2560, 0.0000, 0.7477) and Sb at (0.2591, 0.5000, 0.2574).

[4]
A relaxed structure of Pr2HoPuSb4. Source: Alexandria, functional PBE.

Its raw formation energy is -1.012 eV per atom.

The space group is P2/m (No. 10) and the conventional cell measures 7.7485, 4.4851 and 7.7521 Å, with angles of 90.00, 109.45 and 90.00 degrees. The inequivalent atoms are Pr at (0.0000, 0.0000, 0.0000), Pr at (0.5000, 0.5000, 0.0000), Ho at (0.0000, 0.5000, 0.5000), Pu at (0.5000, 0.0000, 0.5000), Sb at (0.2452, 0.0000, 0.7383) and Sb at (0.2527, 0.5000, 0.2610).

How do the records compare in total moment? In the order shown, they have 0.614 0.958 0.630 0.627 μB per atom.